Compound: Tl2FeOs
Source: Alexandria
Functional: GGA-PBE
Structure: optimized geometry

Values from the calculation:
VASP energy: -5.1035 eV per atom
excess energy over the best structure of this formula in the dataset: 0.457 eV per atom
formation energy: 1.00 eV/atom

```
data_Tl2FeOs
_chemical_formula_sum 'Tl4 Fe2 Os2'
_space_group_name_H-M_alt 'I m m m'
_space_group_IT_number 71
_space_group_name_Hall '-I 2 2'
_cell_length_a 3.3872
_cell_length_b 4.9611
_cell_length_c 8.9020
_cell_angle_alpha 90.00
_cell_angle_beta 90.00
_cell_angle_gamma 90.00
loop_
_atom_site_label
_atom_site_fract_x
_atom_site_fract_y
_atom_site_fract_z
Tl1 0.0000 0.0000 0.2433
Fe1 0.0000 0.5000 0.5000
Os1 0.0000 0.5000 0.0000
```